Computed, not measured: UTl3Br7 after structural relaxation at the PBE-GGA level of DFT.

CIF file:
```
data_UTl3Br7
_chemical_formula_sum 'U2 Tl6 Br14'
_space_group_name_H-M_alt 'P 1'
_space_group_IT_number 1
_cell_length_a 9.380
_cell_length_b 9.380
_cell_length_c 10.997
_cell_angle_alpha 90.00
_cell_angle_beta 90.00
_cell_angle_gamma 110.77
loop_
_space_group_symop_operation_xyz
'x,y,z'
loop_
_atom_site_label
_atom_site_fract_x
_atom_site_fract_y
_atom_site_fract_z
_atom_site_occupancy
Tl1 0.005 0.461 0.250 1
Tl2 0.461 0.005 0.750 1
Tl3 0.500 0.500 0.000 1
Tl4 0.500 0.500 0.500 1
Tl5 0.995 0.539 0.750 1
Tl6 0.539 0.995 0.250 1
U1 0.000 0.000 0.500 1
U2 0.000 0.000 0.000 1
Br1 0.943 0.057 0.250 1
Br2 0.937 0.695 0.462 1
Br3 0.369 0.631 0.250 1
Br4 0.306 0.064 0.463 1
Br5 0.936 0.694 0.037 1
Br6 0.064 0.306 0.537 1
Br7 0.631 0.369 0.750 1
Br8 0.360 0.640 0.750 1
Br9 0.694 0.936 0.963 1
Br10 0.640 0.360 0.250 1
Br11 0.695 0.937 0.538 1
Br12 0.057 0.943 0.750 1
Br13 0.063 0.305 0.962 1
Br14 0.305 0.063 0.038 1
```

## Properties
**Uncorrected formation energy**: -100 kJ per mole of atoms
**Density of states at the Fermi level**: 5.76 states/eV per cell

=====

Computed, not measured: UTlBr5 after structural relaxation at the PBE-GGA level of DFT.

CIF file:
```
data_UTlBr5
_chemical_formula_sum 'U2 Tl2 Br10'
_space_group_name_H-M_alt 'P 1'
_space_group_IT_number 1
_cell_length_a 7.827
_cell_length_b 7.827
_cell_length_c 11.298
_cell_angle_alpha 70.11
_cell_angle_beta 70.11
_cell_angle_gamma 68.90
loop_
_space_group_symop_operation_xyz
'x,y,z'
loop_
_atom_site_label
_atom_site_fract_x
_atom_site_fract_y
_atom_site_fract_z
_atom_site_occupancy
Br1 0.369 0.788 0.501 1
Br2 0.788 0.369 0.001 1
Br3 0.887 0.679 0.620 1
Br4 0.631 0.212 0.499 1
Br5 0.212 0.631 0.999 1
Br6 0.072 0.928 0.250 1
Br7 0.679 0.887 0.120 1
Br8 0.321 0.113 0.880 1
Br9 0.113 0.321 0.380 1
Br10 0.928 0.072 0.750 1
U1 0.000 0.000 0.500 1
U2 0.000 0.000 0.000 1
Tl1 0.531 0.469 0.750 1
Tl2 0.469 0.531 0.250 1
```

## Properties
**Uncorrected formation energy**: -113 kJ per mole of atoms
**Density of states at the Fermi level**: 5.11 states/eV per cell

=====

Computed, not measured: UTl2Br6 after structural relaxation at the PBE-GGA level of DFT.

CIF file:
```
data_UTl2Br6
_chemical_formula_sum 'U2 Tl4 Br12'
_space_group_name_H-M_alt 'P 1'
_space_group_IT_number 1
_cell_length_a 7.689
_cell_length_b 8.450
_cell_length_c 10.824
_cell_angle_alpha 90.00
_cell_angle_beta 93.05
_cell_angle_gamma 90.00
loop_
_space_group_symop_operation_xyz
'x,y,z'
loop_
_atom_site_label
_atom_site_fract_x
_atom_site_fract_y
_atom_site_fract_z
_atom_site_occupancy
Br1 0.830 0.720 0.556 1
Br2 0.330 0.780 0.056 1
Br3 0.614 0.469 0.248 1
Br4 0.701 0.175 0.547 1
Br5 0.799 0.675 0.953 1
Br6 0.170 0.280 0.444 1
Br7 0.670 0.220 0.944 1
Br8 0.386 0.531 0.752 1
Br9 0.299 0.825 0.453 1
Br10 0.886 0.969 0.252 1
Br11 0.201 0.325 0.047 1
Br12 0.114 0.031 0.748 1
U1 0.000 0.000 0.500 1
U2 0.500 0.500 0.000 1
Tl1 0.529 0.907 0.740 1
Tl2 0.971 0.407 0.760 1
Tl3 0.029 0.593 0.240 1
Tl4 0.471 0.093 0.260 1
```

## Properties
**Uncorrected formation energy**: -111 kJ per mole of atoms
**Density of states at the Fermi level**: 13.48 states/eV per cell